Entry 1:
# PrDyAlCd (PBE, relaxed)
data_PrDyAlCd
_chemical_formula_sum 'Pr4 Dy4 Al4 Cd4'
_symmetry_space_group_name_H-M 'F -4 3 m'
_symmetry_Int_Tables_number 216
_symmetry_space_group_name_Hall 'F -4 2 3'
_cell_length_a 7.510
_cell_length_b 7.510
_cell_length_c 7.510
_cell_angle_alpha 90.00
_cell_angle_beta 90.00
_cell_angle_gamma 90.00
loop_
_atom_site_label
_atom_site_type_symbol
_atom_site_fract_x
_atom_site_fract_y
_atom_site_fract_z
Pr1 Pr 0.000 0.000 0.000
Dy1 Dy 0.000 0.000 0.500
Al1 Al 0.250 0.250 0.250
Cd1 Cd 0.250 0.250 0.750
# total magnetic moment	0.00	μB per formula unit
# DFT formation energy	-0.33	eV per atom
# final energy	-3.8417	eV/atom
# D(E_F)	0.904	states/eV per atom


Entry 2:
# Dy2Al3CdPt4 (PBE, relaxed)
data_Dy2Al3CdPt4
_chemical_formula_sum 'Dy2 Al3 Cd1 Pt4'
_symmetry_space_group_name_H-M 'P -4 m 2'
_symmetry_Int_Tables_number 115
_cell_length_a 4.076
_cell_length_b 4.076
_cell_length_c 11.512
_cell_angle_alpha 90.00
_cell_angle_beta 90.00
_cell_angle_gamma 90.00
loop_
_symmetry_equiv_pos_as_xyz
'x,y,z'
'y,-x,-z'
'-x,-y,z'
'-y,x,-z'
'-x,y,z'
'-y,-x,-z'
'x,-y,z'
'y,x,-z'
loop_
_atom_site_label
_atom_site_type_symbol
_atom_site_fract_x
_atom_site_fract_y
_atom_site_fract_z
Dy1 Dy 0.000 0.500 0.250
Al1 Al 0.000 0.000 0.000
Al2 Al 0.000 0.500 0.626
Cd1 Cd 0.500 0.500 0.000
Pt1 Pt 0.000 0.000 0.500
Pt2 Pt 0.000 0.500 0.838
Pt3 Pt 0.500 0.500 0.500
# total magnetic moment	0.00	μB per formula unit
# DFT formation energy	-0.98	eV per atom
# final energy	-5.5280	eV/atom
# D(E_F)	0.547	states/eV per atom


Entry 3:
# Dy2Al2CdPt5 (PBE, relaxed)
data_Dy2Al2CdPt5
_chemical_formula_sum 'Dy4 Al4 Cd2 Pt10'
_symmetry_space_group_name_H-M 'P 4/m b m'
_symmetry_Int_Tables_number 127
_symmetry_space_group_name_Hall '-P 4 2ab'
_cell_length_a 9.846
_cell_length_b 9.846
_cell_length_c 3.755
_cell_angle_alpha 90.00
_cell_angle_beta 90.00
_cell_angle_gamma 90.00
loop_
_atom_site_label
_atom_site_type_symbol
_atom_site_fract_x
_atom_site_fract_y
_atom_site_fract_z
Dy1 Dy 0.178 0.322 0.000
Al1 Al 0.120 0.620 0.000
Cd1 Cd 0.000 0.000 0.000
Pt1 Pt 0.000 0.500 0.500
Pt2 Pt 0.067 0.787 0.500
# total magnetic moment	0.00	μB per formula unit
# DFT formation energy	-0.92	eV per atom
# final energy	-5.7057	eV/atom
# D(E_F)	0.452	states/eV per atom


- Look up the DFT formation energy of the third one.
  -0.92 eV per atom


- Which formula does entry 3 have?
  Dy2Al2CdPt5


- The highest D(E_F) belongs to which entry?
  PrDyAlCd


- Number 1 is which compound?
  PrDyAlCd